Entry 1:
# PBE-GGA RbPtS3, relaxed
data_RbPtS3
_chemical_formula_sum 'Rb1 Pt1 S3'
_cell_length_a 4.888
_cell_length_b 4.888
_cell_length_c 4.888
_cell_angle_alpha 90.00
_cell_angle_beta 90.00
_cell_angle_gamma 90.00
_space_group_name_H-M_alt 'P 1'
_space_group_IT_number 1
_space_group_name_Hall 'P 1'
loop_
_atom_site_label
_atom_site_fract_x
_atom_site_fract_y
_atom_site_fract_z
_atom_site_occupancy
Rb1 0.000 0.000 0.000 1
Pt1 0.500 0.500 0.500 1
S1 0.000 0.500 0.500 1
S2 0.500 0.000 0.500 1
S3 0.500 0.500 0.000 1
# ΔE_f (raw)	-29	meV per atom
# electronic total energy	-3.907	eV/atom
# total magnetic moment	0.397	μB per atom
# DOS(E_F)	4.2	states/eV/f.u.



Entry 2:
# PBE-GGA PuMgCdAg, relaxed
data_PuMgCdAg
_chemical_formula_sum 'Pu4 Mg4 Cd4 Ag4'
_cell_length_a 7.216
_cell_length_b 7.216
_cell_length_c 7.216
_cell_angle_alpha 90.00
_cell_angle_beta 90.00
_cell_angle_gamma 90.00
_space_group_name_H-M_alt 'P 1'
_space_group_IT_number 1
_space_group_name_Hall 'P 1'
loop_
_atom_site_label
_atom_site_fract_x
_atom_site_fract_y
_atom_site_fract_z
_atom_site_occupancy
Pu1 0.000 0.000 0.000 1
Pu2 0.000 0.500 0.500 1
Pu3 0.500 0.000 0.500 1
Pu4 0.500 0.500 0.000 1
Mg1 0.000 0.000 0.500 1
Mg2 0.000 0.500 0.000 1
Mg3 0.500 0.000 0.000 1
Mg4 0.500 0.500 0.500 1
Cd1 0.250 0.250 0.250 1
Cd2 0.250 0.750 0.750 1
Cd3 0.750 0.250 0.750 1
Cd4 0.750 0.750 0.250 1
Ag1 0.250 0.250 0.750 1
Ag2 0.250 0.750 0.250 1
Ag3 0.750 0.250 0.250 1
Ag4 0.750 0.750 0.750 1
# electronic total energy	-4.924	eV/atom
# energy relative to the elements	-0.020	kcal/mol of atoms
# total magnetic moment	1.458	μB per atom
# excess energy over the best structure of this formula in the dataset	81	meV per atom
# DOS(E_F)	14.0	states/eV/f.u.



Entry 3:
# PBE-GGA SrMgRe2, relaxed
data_SrMgRe2
_chemical_formula_sum 'Sr2 Mg2 Re4'
_cell_length_a 8.220
_cell_length_b 3.232
_cell_length_c 7.203
_cell_angle_alpha 90.00
_cell_angle_beta 97.42
_cell_angle_gamma 90.00
_space_group_name_H-M_alt 'P 1'
_space_group_IT_number 1
_space_group_name_Hall 'P 1'
loop_
_atom_site_label
_atom_site_fract_x
_atom_site_fract_y
_atom_site_fract_z
_atom_site_occupancy
Sr1 0.000 0.000 0.000 1
Sr2 0.500 0.500 0.000 1
Mg1 0.223 0.000 0.635 1
Mg2 0.723 0.500 0.635 1
Re1 0.261 0.500 0.310 1
Re2 0.480 0.000 0.420 1
Re3 0.761 0.000 0.310 1
Re4 0.980 0.500 0.420 1
# electronic total energy	-6.529	eV/atom
# energy relative to the elements	11.867	kcal/mol of atoms
# total magnetic moment	0.000	μB per atom
# DOS(E_F)	3.0	states/eV/f.u.